Computed, not measured: SrCrPO4 after structural relaxation at the GGA+U level of DFT.

abc: 5.8438 5.8438 5.8438
angles: 60.00 60.00 60.00
Last column: nearest neighbours and their distance in Å.
Element x y z (fractional)
Cr (0.5000, 0.5000, 0.5000)  4 O 2.04
O (0.3576, 0.9272, 0.3576)  1 P 1.54
O (0.9272, 0.3576, 0.3576)  1 P 1.54
O (0.3576, 0.3576, 0.3576)  1 P 1.54
O (0.3576, 0.3576, 0.9272)  1 P 1.54
Sr (0.7500, 0.7500, 0.7500)  12 O 3.48, 4 Cr 3.58
P (0.2500, 0.2500, 0.2500)  4 O 1.54

Properties
SG: F-43m, No. 216
Total DFT energy (no corrections) in eV/atom: -6.768
N(E_F) in states/eV/atom: 0.72
Magnetization in μB/atom: 0.7094